(1)
Density functional theory data (PBE) for a relaxed structure of Ti3TlH.

Results
Space group: C2/c (15)
Crystal system: monoclinic
Total magnetization, μB/cell: 0.00
Density of states at the Fermi level, states/eV/atom: 1.079
E_tot, eV/atom: -5.90

Lattice parameters (Å, degrees): 11.2824 7.6902 7.6902 98.57 131.78 48.22
Fractional positions:
H  0.1615  0.4214  0.3616
H  0.3385  0.8616  0.9214
H  0.8385  0.5786  0.6384
H  0.6615  0.1384  0.0786
Tl  0.7500  0.0649  0.5649
Tl  0.2500  0.9351  0.4351
Tl  0.7500  0.5493  0.0493
Tl  0.2500  0.4507  0.9507
Ti  0.2907  0.5074  0.3860
Ti  0.2093  0.8860  0.0074
Ti  0.7093  0.4926  0.6140
Ti  0.7907  0.1140  0.9926
Ti  0.2141  0.2203  0.1802
Ti  0.2859  0.6802  0.7203
Ti  0.7859  0.7797  0.8198
Ti  0.7141  0.3198  0.2797
Ti  0.4218  0.1761  0.7477
Ti  0.0782  0.2477  0.6761
Ti  0.5782  0.8239  0.2523
Ti  0.9218  0.7523  0.3239

---

(2)
Density functional theory data (PBE) for a relaxed structure of Ti3TlH.

Results
Space group: P1 (1)
Crystal system: triclinic
Total magnetization, μB/cell: 0.00
Density of states at the Fermi level, states/eV/atom: 0.945
E_tot, eV/atom: -6.00

Lattice parameters (Å, degrees): 5.0650 5.8401 5.8443 62.95 99.29 99.21
Fractional positions:
H  0.5594  0.6602  0.9626
H  0.9570  0.7620  0.7537
Tl  0.8661  0.4396  0.4435
Tl  0.2545  0.1772  0.1798
Ti  0.3569  0.6954  0.1878
Ti  0.2882  0.7002  0.6946
Ti  0.7612  0.4329  0.9249
Ti  0.3651  0.1895  0.6930
Ti  0.7545  0.9293  0.4280
Ti  0.8328  0.9279  0.9240

---

(3)
Density functional theory data (PBE) for a relaxed structure of Ti3TlH.

Results
Space group: P2_1/m (11)
Crystal system: monoclinic
Total magnetization, μB/cell: 0.00
Density of states at the Fermi level, states/eV/atom: 0.703
E_tot, eV/atom: -5.94

Lattice parameters (Å, degrees): 5.9922 8.5082 3.0855 90.00 101.25 90.00
Fractional positions:
H  0.3359  0.2500  0.0478
H  0.6641  0.7500  0.9522
Tl  0.9570  0.2500  0.4354
Tl  0.0430  0.7500  0.5646
Ti  0.7276  0.9752  0.9564
Ti  0.2724  0.0248  0.0436
Ti  0.7276  0.5248  0.9564
Ti  0.2724  0.4752  0.0436
Ti  0.5061  0.2500  0.6086
Ti  0.4939  0.7500  0.3914

---

(4)
Density functional theory data (PBE) for a relaxed structure of Ti3TlH.

Results
Space group: Fd-3m (227)
Crystal system: cubic
Total magnetization, μB/cell: 3.84
Density of states at the Fermi level, states/eV/atom: 1.432
E_tot, eV/atom: -5.69

Lattice parameters (Å, degrees): 7.8385 7.8385 7.8385 60.00 60.00 60.00
Fractional positions:
H  0.1250  0.1250  0.1250
H  0.1250  0.6250  0.1250
H  0.6250  0.1250  0.1250
H  0.1250  0.1250  0.6250
Tl  0.6250  0.6250  0.6250
Tl  0.6250  0.1250  0.6250
Tl  0.1250  0.6250  0.6250
Tl  0.6250  0.6250  0.1250
Ti  0.8172  0.1828  0.1828
Ti  0.0672  0.4328  0.4328
Ti  0.4328  0.4328  0.0672
Ti  0.4328  0.0672  0.0672
Ti  0.0672  0.4328  0.0672
Ti  0.8172  0.1828  0.8172
Ti  0.4328  0.0672  0.4328
Ti  0.0672  0.0672  0.4328
Ti  0.1828  0.8172  0.1828
Ti  0.1828  0.8172  0.8172
Ti  0.1828  0.1828  0.8172
Ti  0.8172  0.8172  0.1828

---

(5)
Density functional theory data (PBE) for a relaxed structure of Ti3TlH.

Results
Space group: I4mm (107)
Crystal system: tetragonal
Total magnetization, μB/cell: 0.00
Density of states at the Fermi level, states/eV/atom: 1.030
E_tot, eV/atom: -6.01

Lattice parameters (Å, degrees): 5.7530 5.3426 5.7510 57.44 90.00 90.00
Fractional positions:
H  0.7496  0.8639  0.2329
H  0.2496  0.8639  0.7329
Tl  0.7496  0.2640  0.5329
Tl  0.2496  0.2640  0.0329
Ti  0.4996  0.7727  0.0285
Ti  0.9996  0.7727  0.5285
Ti  0.7496  0.2837  0.0230
Ti  0.2496  0.2837  0.5231
Ti  0.4996  0.7727  0.5285
Ti  0.9996  0.7727  0.0285

---

(6)
Density functional theory data (PBE) for a relaxed structure of Ti2TlVH.

Results
Space group: P4/mmm (123)
Crystal system: tetragonal
Total magnetization, μB/cell: 0.42
Density of states at the Fermi level, states/eV/atom: 1.072
E_tot, eV/atom: -6.18

Lattice parameters (Å, degrees): 4.2861 4.2861 3.8186 90.00 90.00 90.00
Fractional positions:
H  0.0000  0.0000  0.0000
Tl  0.5000  0.5000  0.5000
Ti  0.0000  0.5000  0.0000
Ti  0.5000  0.0000  0.0000
V  0.0000  0.0000  0.5000

---

(7)
Density functional theory data (PBE) for a relaxed structure of YTi2TlH.

Results
Space group: P4/mmm (123)
Crystal system: tetragonal
Total magnetization, μB/cell: 0.00
Density of states at the Fermi level, states/eV/atom: 0.610
E_tot, eV/atom: -5.70

Lattice parameters (Å, degrees): 4.3714 4.3714 4.5228 90.00 90.00 90.00
Fractional positions:
Y  0.0000  0.0000  0.5000
H  0.0000  0.0000  0.0000
Tl  0.5000  0.5000  0.5000
Ti  0.0000  0.5000  0.0000
Ti  0.5000  0.0000  0.0000

---

(8)
Density functional theory data (PBE) for a relaxed structure of Y2TiTlH.

Results
Space group: P4/mmm (123)
Crystal system: tetragonal
Total magnetization, μB/cell: 3.14
Density of states at the Fermi level, states/eV/atom: 0.834
E_tot, eV/atom: -5.50

Lattice parameters (Å, degrees): 5.0130 5.0130 4.1250 90.00 90.00 90.00
Fractional positions:
Y  0.0000  0.5000  0.0000
Y  0.5000  0.0000  0.0000
H  0.0000  0.0000  0.0000
Tl  0.5000  0.5000  0.5000
Ti  0.0000  0.0000  0.5000

---

(9)
Density functional theory data (PBE) for a relaxed structure of Ti2TlZnH.

Results
Space group: P4/mmm (123)
Crystal system: tetragonal
Total magnetization, μB/cell: 0.00
Density of states at the Fermi level, states/eV/atom: 0.794
E_tot, eV/atom: -4.64

Lattice parameters (Å, degrees): 4.0451 4.0451 4.3945 90.00 90.00 90.00
Fractional positions:
H  0.0000  0.0000  0.0000
Tl  0.5000  0.5000  0.5000
Zn  0.0000  0.0000  0.5000
Ti  0.0000  0.5000  0.0000
Ti  0.5000  0.0000  0.0000

---

(10)
Density functional theory data (PBE) for a relaxed structure of ZrTi2TlH.

Results
Space group: P4/mmm (123)
Crystal system: tetragonal
Polymorph energy (0 for the lowest one), eV per formula unit: 0.000
Total magnetization, μB/cell: 0.00
Density of states at the Fermi level, states/eV/atom: 0.924
E_tot, eV/atom: -6.19

Lattice parameters (Å, degrees): 4.3027 4.3027 4.2963 90.00 90.00 90.00
Fractional positions:
H  0.0000  0.0000  0.0000
Tl  0.5000  0.5000  0.5000
Zr  0.0000  0.0000  0.5000
Ti  0.0000  0.5000  0.0000
Ti  0.5000  0.0000  0.0000

---

(11)
Density functional theory data (PBE) for a relaxed structure of ZrTi2TlH.

Results
Space group: P4/mmm (123)
Crystal system: tetragonal
Polymorph energy (0 for the lowest one), eV per formula unit: 0.939
Total magnetization, μB/cell: 0.59
Density of states at the Fermi level, states/eV/atom: 1.381
E_tot, eV/atom: -6.00

Lattice parameters (Å, degrees): 4.1315 4.1315 4.8279 90.00 90.00 90.00
Fractional positions:
H  0.0000  0.0000  0.0000
Tl  0.0000  0.0000  0.5000
Zr  0.5000  0.5000  0.5000
Ti  0.0000  0.5000  0.0000
Ti  0.5000  0.0000  0.0000

---

(12)
Density functional theory data (PBE) for a relaxed structure of Zr2TiTlH.

Results
Space group: P4/mmm (123)
Crystal system: tetragonal
Polymorph energy (0 for the lowest one), eV per formula unit: 0.000
Total magnetization, μB/cell: 0.00
Density of states at the Fermi level, states/eV/atom: 0.856
E_tot, eV/atom: -6.35

Lattice parameters (Å, degrees): 4.4485 4.4485 4.3171 90.00 90.00 90.00
Fractional positions:
H  0.0000  0.0000  0.0000
Tl  0.5000  0.5000  0.5000
Zr  0.0000  0.5000  0.0000
Zr  0.5000  0.0000  0.0000
Ti  0.0000  0.0000  0.5000

---

(13)
Density functional theory data (PBE) for a relaxed structure of Zr2TiTlH.

Results
Space group: P4/mmm (123)
Crystal system: tetragonal
Polymorph energy (0 for the lowest one), eV per formula unit: 0.825
Total magnetization, μB/cell: 0.00
Density of states at the Fermi level, states/eV/atom: 1.362
E_tot, eV/atom: -6.19

Lattice parameters (Å, degrees): 4.2112 4.2112 4.9559 90.00 90.00 90.00
Fractional positions:
H  0.0000  0.0000  0.0000
Tl  0.0000  0.0000  0.5000
Zr  0.0000  0.5000  0.0000
Zr  0.5000  0.0000  0.0000
Ti  0.5000  0.5000  0.5000

---

(14)
Density functional theory data (PBE) for a relaxed structure of TmTiH3.

Results
Space group: Pm-3m (221)
Crystal system: cubic
Total magnetization, μB/cell: 0.00
Density of states at the Fermi level, states/eV/atom: 0.196
E_tot, eV/atom: -4.86

Lattice parameters (Å, degrees): 3.6822 3.6822 3.6822 90.00 90.00 90.00
Fractional positions:
H  0.0000  0.5000  0.0000
H  0.0000  0.0000  0.5000
H  0.5000  0.0000  0.0000
Tm  0.5000  0.5000  0.5000
Ti  0.0000  0.0000  0.0000

---

(15)
Density functional theory data (PBE) for a relaxed structure of Tm2TiH.

Results
Space group: R-3m (166)
Crystal system: trigonal
Polymorph energy (0 for the lowest one), eV per formula unit: 0.324
Total magnetization, μB/cell: 0.01
Density of states at the Fermi level, states/eV/atom: 1.466
E_tot, eV/atom: -4.81

Lattice parameters (Å, degrees): 3.2612 3.2612 8.7650 79.28 79.28 60.00
Fractional positions:
H  0.5000  0.5000  0.5000
Tm  0.1142  0.1142  0.6574
Tm  0.8858  0.8858  0.3426
Ti  0.0000  0.0000  0.0000

---

(16)
Density functional theory data (PBE) for a relaxed structure of TmTi2H.

Results
Space group: R-3m (166)
Crystal system: trigonal
Total magnetization, μB/cell: 0.00
Density of states at the Fermi level, states/eV/atom: 1.024
E_tot, eV/atom: -5.76

Lattice parameters (Å, degrees): 3.0582 3.0582 8.2469 79.31 79.31 60.00
Fractional positions:
H  0.5000  0.5000  0.5000
Tm  0.0000  0.0000  0.0000
Ti  0.1206  0.1206  0.6383
Ti  0.8794  0.8794  0.3617

---

(17)
Density functional theory data (PBE) for a relaxed structure of Tm2TiH.

Results
Space group: P4/mmm (123)
Crystal system: tetragonal
Polymorph energy (0 for the lowest one), eV per formula unit: 0.000
Total magnetization, μB/cell: 0.00
Density of states at the Fermi level, states/eV/atom: 0.922
E_tot, eV/atom: -4.89

Lattice parameters (Å, degrees): 3.1509 3.1509 7.6555 90.00 90.00 90.00
Fractional positions:
H  0.5000  0.5000  0.0000
Tm  0.0000  0.0000  0.7836
Tm  0.0000  0.0000  0.2164
Ti  0.5000  0.5000  0.5000

---

(18)
Density functional theory data (PBE) for a relaxed structure of Tm5Ti3H12.

Results
Space group: Ia-3d (230)
Crystal system: cubic
Total magnetization, μB/cell: 0.00
Density of states at the Fermi level, states/eV/atom: 0.625
E_tot, eV/atom: -4.64

Lattice parameters (Å, degrees): 10.5183 10.5183 10.5183 109.47 109.47 109.47
Fractional positions:
H  0.7289  0.1707  0.0759
H  0.3470  0.5759  0.4052
H  0.9241  0.3293  0.2711
H  0.5759  0.2289  0.1707
H  0.5582  0.7289  0.6530
H  0.9241  0.5948  0.1530
H  0.3470  0.7711  0.4418
H  0.0948  0.9418  0.1707
H  0.5948  0.9241  0.6530
H  0.7289  0.5582  0.1530
H  0.7711  0.4241  0.3293
H  0.8470  0.9052  0.0759
H  0.1707  0.7289  0.5759
H  0.3293  0.4052  0.0582
H  0.0582  0.9052  0.3293
H  0.4418  0.1707  0.5948
H  0.0582  0.1530  0.2289
H  0.4241  0.6530  0.0948
H  0.8470  0.9418  0.2711
H  0.1707  0.4418  0.0948
H  0.3293  0.9241  0.7711
H  0.5948  0.6707  0.4418
H  0.9052  0.8470  0.5759
H  0.7711  0.3470  0.9418
H  0.4052  0.3293  0.5582
H  0.0948  0.1530  0.4241
H  0.2289  0.6530  0.0582
H  0.1530  0.0582  0.7289
H  0.6707  0.0759  0.2289
H  0.8293  0.5582  0.9052
H  0.5759  0.3470  0.9052
H  0.5582  0.8293  0.4052
H  0.9418  0.8470  0.7711
H  0.9418  0.0948  0.6707
H  0.8293  0.2711  0.4241
H  0.1530  0.0948  0.9241
H  0.6707  0.5948  0.9418
H  0.4052  0.0759  0.3470
H  0.2711  0.4418  0.8470
H  0.2289  0.5759  0.6707
H  0.9052  0.0582  0.8293
H  0.6530  0.2289  0.5582
H  0.4241  0.7711  0.8293
H  0.0759  0.4052  0.8470
H  0.4418  0.2711  0.3470
H  0.0759  0.6707  0.7289
H  0.6530  0.4241  0.5948
H  0.2711  0.8293  0.9241
Tm  0.1250  0.3750  0.2500
Tm  0.0000  0.5000  0.0000
Tm  0.0000  0.0000  0.0000
Tm  0.3750  0.2500  0.1250
Tm  0.5000  0.0000  0.5000
Tm  0.5000  0.5000  0.0000
Tm  0.1250  0.7500  0.3750
Tm  0.7500  0.1250  0.8750
Tm  0.7500  0.6250  0.3750
Tm  0.3750  0.1250  0.7500
Tm  0.6250  0.8750  0.2500
Tm  0.5000  0.5000  0.5000
Tm  0.5000  0.0000  0.0000
Tm  0.0000  0.0000  0.5000
Tm  0.2500  0.3750  0.6250
Tm  0.2500  0.8750  0.1250
Tm  0.0000  0.5000  0.5000
Tm  0.8750  0.2500  0.6250
Tm  0.6250  0.7500  0.8750
Tm  0.8750  0.6250  0.7500
Ti  0.7500  0.3750  0.1250
Ti  0.8750  0.7500  0.1250
Ti  0.3750  0.7500  0.6250
Ti  0.2500  0.1250  0.3750
Ti  0.8750  0.1250  0.2500
Ti  0.3750  0.6250  0.2500
Ti  0.6250  0.3750  0.7500
Ti  0.1250  0.8750  0.7500
Ti  0.7500  0.8750  0.6250
Ti  0.6250  0.2500  0.3750
Ti  0.1250  0.2500  0.8750
Ti  0.2500  0.6250  0.8750